## Sc2GaC2 (GGA-PBE)

Data for a geometry-optimized Sc2GaC2 structure.

abc: 6.8234 6.8234 2.9083
angles: 90.00 90.00 90.00
Last column: nearest neighbours and their distance in Å.
Element x y z (fractional)
Sc 0.1422 0.3578 0.0000  6 C 2.33-2.58
Sc 0.3578 0.8578 0.0000  6 C 2.33-2.58
Sc 0.6422 0.1422 0.0000  6 C 2.33-2.58
Sc 0.8578 0.6422 0.0000  6 C 2.33-2.58
Ga 0.0000 0.0000 0.0000  4 Sc 2.63, 2 Ga 2.91, 8 C 2.92
Ga 0.5000 0.5000 0.0000  4 Sc 2.63, 2 Ga 2.91, 8 C 2.92
C 0.1687 0.6687 0.5000  6 Sc 2.33-2.58
C 0.3313 0.1687 0.5000  6 Sc 2.33-2.58
C 0.6687 0.8313 0.5000  6 Sc 2.33-2.58
C 0.8313 0.3313 0.5000  6 Sc 2.33-2.58

Computed properties:
The calculation puts the energy relative to the lowest polymorph listed for this composition at 71 meV/atom.

***

## LaSmGa2Pt5 (GGA-PBE)

Data for a geometry-optimized LaSmGa2Pt5 structure.

abc: 4.2791 4.2791 9.3767
angles: 90.00 90.00 90.00
Last column: nearest neighbours and their distance in Å.
Element x y z (fractional)
La 0.0000 0.0000 0.0000  12 Pt 3.03-3.05
Sm 0.0000 0.0000 0.5000  8 Ga 3.27, 8 Pt 3.31
Ga 0.5000 0.5000 0.3676  1 Ga 2.48, 4 Pt 2.49
Ga 0.5000 0.5000 0.6324  1 Ga 2.48, 4 Pt 2.49
Pt 0.0000 0.5000 0.2311  2 Ga 2.49
Pt 0.0000 0.5000 0.7689  2 Ga 2.49
Pt 0.5000 0.0000 0.2311  2 Ga 2.49
Pt 0.5000 0.0000 0.7689  2 Ga 2.49
Pt 0.5000 0.5000 0.0000  4 La 3.03, 8 Pt 3.05

Computed properties:
Its final energy is -54.02 eV/f.u.

***

## Cs2HfBCl6 (GGA-PBE)

Data for a geometry-optimized Cs2HfBCl6 structure.

abc: 7.9657 7.9657 7.9657
angles: 124.59 124.59 82.21
Last column: nearest neighbours and their distance in Å.
Element x y z (fractional)
Cs 0.2500 0.7500 0.5000  12 Cl 3.74-3.99
Cs 0.7500 0.2500 0.5000  12 Cl 3.74-3.99
Hf 0.0000 0.0000 0.0000  6 Cl 2.47-2.48
B 0.5000 0.5000 0.0000  4 Cl 2.77
Cl 0.2065 0.2065 0.0000  1 Hf 2.48
Cl 0.2355 0.2355 0.4709  1 Hf 2.47
Cl 0.2355 0.7645 0.0000  1 Hf 2.47
Cl 0.7645 0.2355 0.0000  1 Hf 2.47
Cl 0.7645 0.7645 0.5291  1 Hf 2.47
Cl 0.7935 0.7935 0.0000  1 Hf 2.48

Computed properties:
The uncorrected formation energy comes out at -1224 meV per atom.

***

Summary of D(E_F) in states/eV/f.u.
1.81 5.22 0.00
(order as listed above)
Summary of size of the total moment in μB per atom
0.000 0.000 0.100
(order as listed above)